The following is a PBEsol calculation of a relaxed HfMgCl2 crystal, from the Alexandria database.

Cell lengths 3.3071, 3.3071, 25.1334 Å; angles 90.00, 90.00, 120.00 degrees
Space group R-3m (No. 166, hexagonal axes)
One atom of each set of equivalent atoms:
Hf1 0.0000 0.0000 0.0000 x3
Mg1 0.0000 0.0000 0.5000 x3
Cl1 0.0000 0.0000 0.1064 x6

## Properties
Uncorrected formation energy ... -706 meV/atom
Total energy ... -0.3503 Ry per atom


The following is a PBEsol calculation of a relaxed HfMgP2Cl crystal, from the Alexandria database.

Cell lengths 4.760, 4.760, 4.417 Å; angles 90.00, 90.00, 90.00 degrees
Space group P4/mmm (No. 123)
One atom of each set of equivalent atoms:
Hf1 0.000 0.000 0.000 x1
Mg1 0.500 0.500 0.500 x1
P1 0.000 0.500 0.500 x2
Cl1 0.500 0.500 0.000 x1

## Properties
Uncorrected formation energy ... 303 meV/atom
Total energy ... -0.3571 Ry per atom